! NdSmTh2 GGA-PBE relaxed; values from VASP
! Energy above the lowest structure with this stoichiometry   55 meV per atom
! Spin magnetization   0.0 μB/f.u.
&SYSTEM
  ibrav = 0, nat = 4, ntyp = 3
/
ATOMIC_SPECIES
Th 232.04 Th.upf
Nd 144.24 Nd.upf
Sm 150.36 Sm.upf
CELL_PARAMETERS angstrom
-1.0433 -0.0818 -3.4165
-2.1690 -2.7446 0.7281
-7.6958 6.6630 2.1907
ATOMIC_POSITIONS angstrom
Th -5.7853 5.0090 1.6468
Th -1.9104 1.6541 0.5438
Nd -5.4541 1.9183 -0.2489
Sm -1.6062 -1.4132 -1.3442



! CsTe2Pb2 GGA-PBE relaxed; values from VASP
! E_form (uncorrected)   -425 meV/atom
! Energy above the lowest structure with this stoichiometry   87 meV per atom
! Spin magnetization   0.0 μB/f.u.
&SYSTEM
  ibrav = 0, nat = 10, ntyp = 3
/
ATOMIC_SPECIES
Te 127.60 Te.upf
Cs 132.91 Cs.upf
Pb 207.20 Pb.upf
CELL_PARAMETERS angstrom
-3.2593 -5.2231 6.4317
1.3136 -5.8830 -6.5525
6.5202 4.5349 2.0658
ATOMIC_POSITIONS angstrom
Te 5.4572 -2.3741 -2.8835
Te 1.0678 -4.4786 -0.7097
Te 3.5067 -2.0926 2.6548
Te -0.8827 -4.1971 4.8286
Cs 2.3730 -4.6669 -4.4159
Cs 2.2015 -1.9042 6.3610
Pb -0.5739 -7.0554 -1.6367
Pb 3.0094 -1.9451 -0.6345
Pb 5.1484 0.4842 3.5818
Pb 1.5651 -4.6261 2.5795



! Ta2AsPt GGA-PBE relaxed; values from VASP
! Spin magnetization   0.0 μB/f.u.
! Final energy   -8.932 eV/atom
&SYSTEM
  ibrav = 0, nat = 4, ntyp = 3
/
ATOMIC_SPECIES
Pt 195.08 Pt.upf
Ta 180.95 Ta.upf
As 74.92 As.upf
CELL_PARAMETERS angstrom
4.0768 0.0000 0.0000
0.0000 2.8809 0.0044
0.0000 1.7054 5.7327
ATOMIC_POSITIONS angstrom
Pt 2.0384 3.4397 4.3028
Ta 0.0000 0.2132 0.0239
Ta 0.0000 2.0799 2.8446
As 2.0384 1.1466 1.4343